# TcNi2Rh

A crystal of TcNi2Rh relaxed with PBEsol (SCAN, Alexandria via LeMat-Bulk).

Cell: 3.5815 3.5815 7.4826 Å, 90.00 90.00 90.00°
Last column: nearest neighbours and their distance in Å.
Space group I-4m2 (No. 119)
Asymmetric unit:
Tc (0.0000, 0.0000, 0.0000) [2 per cell]  8 Ni 2.53-2.59, 4 Rh 2.59
Ni (0.0000, 0.0000, 0.5000) [2 per cell]  4 Tc 2.53, 4 Ni 2.59, 4 Rh 2.59
Ni (0.0000, 0.5000, 0.7500) [2 per cell]  4 Rh 2.53, 4 Tc 2.59, 4 Ni 2.59
Rh (0.0000, 0.5000, 0.2500) [2 per cell]  8 Ni 2.53-2.59, 4 Tc 2.59

ΔH_f (0 K)	-0.0134	eV/atom
density	11.013	g/cm³
crystal system	tetragonal
total magnetic moment	0.000	μB per atom
final energy	-25.308	eV per atom